Entry 1:
NbBSb2 | PBE | relaxed

Lattice parameters (Å, degrees): 6.4539 6.4539 6.2635 58.99 58.99 90.00
Last column: nearest neighbours and their distance in Å.
Fractional positions:
Sb (0.5566, 0.1250, 0.2500)  2 B 2.26
Sb (0.1934, 0.6250, 0.2500)  2 B 2.26
Sb (0.3750, 0.4434, 0.7500)  2 B 2.26
Sb (0.8750, 0.8066, 0.7500)  2 B 2.26
Nb (0.0000, 0.0000, 0.0000)  4 Sb 2.82
Nb (0.7500, 0.2500, 0.5000)  4 Sb 2.82
B (0.5000, 0.5000, 0.0000)  4 Sb 2.26
B (0.2500, 0.7500, 0.5000)  4 Sb 2.26

## Properties
Uncorrected formation energy in eV/atom: 0.72
Size of the total moment in Bohr magnetons per cell: 3.10


Entry 2:
NbB2SbSe | PBE | relaxed

Lattice parameters (Å, degrees): 4.2761 5.3788 4.2761 90.00 90.00 90.00
Last column: nearest neighbours and their distance in Å.
Fractional positions:
Sb (0.0000, 0.0000, 0.0000)  4 B 2.14
Nb (0.5000, 0.5000, 0.5000)  4 Se 3.02
B (0.0000, 0.0000, 0.5000)  2 Sb 2.14
B (0.5000, 0.0000, 0.0000)  2 Sb 2.14
Se (0.0000, 0.5000, 0.0000)  2 Sb 2.69

## Properties
Uncorrected formation energy in eV/atom: 1.87
Size of the total moment in Bohr magnetons per cell: 0.00


Entry 3:
NbTc2BSb | PBE | relaxed

Lattice parameters (Å, degrees): 4.8433 4.1620 4.8433 90.00 90.00 90.00
Last column: nearest neighbours and their distance in Å.
Fractional positions:
Sb (0.5000, 0.5000, 0.5000)  8 Tc 3.19, 4 B 3.42
Nb (0.0000, 0.0000, 0.0000)  2 B 2.08
B (0.0000, 0.5000, 0.0000)  2 Nb 2.08
Tc (0.0000, 0.0000, 0.5000)  2 Nb 2.42
Tc (0.5000, 0.0000, 0.0000)  2 Nb 2.42

## Properties
Uncorrected formation energy in eV/atom: 1.54
Size of the total moment in Bohr magnetons per cell: 0.10


Entry 4:
NbB2SbTe | PBE | relaxed

Lattice parameters (Å, degrees): 4.3331 5.9527 4.3331 90.00 90.00 90.00
Last column: nearest neighbours and their distance in Å.
Fractional positions:
Sb (0.0000, 0.5000, 0.0000)  2 Te 2.98, 4 Nb 3.06
Nb (0.5000, 0.5000, 0.5000)  4 Sb 3.06
Te (0.0000, 0.0000, 0.0000)  4 B 2.17
B (0.0000, 0.0000, 0.5000)  2 Te 2.17
B (0.5000, 0.0000, 0.0000)  2 Te 2.17

## Properties
Uncorrected formation energy in eV/atom: 2.01
Size of the total moment in Bohr magnetons per cell: 1.96